# 1
Fe6Co2Ge (PBE-GGA, relaxed); raw total energy = -7.5495 eV per atom; mass density = 7.7 g/cm³; volume = 12.6 Å³/atom; formation enthalpy at 0 K = 18 kJ per mole of atoms
1.0
7.653 -2.682 0.000
7.653 2.682 0.000
-1.027 0.000 5.530
Fe Co Ge
12 4 2
Direct
0.059 0.063 0.157
0.063 0.059 0.657
0.115 0.583 0.050
0.118 0.582 0.550
0.417 0.885 0.450
0.418 0.882 0.950
0.582 0.118 0.050
0.583 0.115 0.550
0.882 0.418 0.450
0.885 0.417 0.950
0.937 0.941 0.343
0.941 0.937 0.843
0.244 0.244 0.248
0.244 0.244 0.748
0.756 0.756 0.252
0.756 0.756 0.752
0.488 0.512 0.250
0.512 0.488 0.750

=====

# 2
Ac4Hg (PBE-GGA, relaxed); relative energy among the computed polymorphs = 310 meV/atom; raw total energy = -3.2272 eV per atom; mass density = 7.6 g/cm³; volume = 48.6 Å³/atom; formation enthalpy at 0 K = 12 kJ per mole of atoms
1.0
6.239 0.000 0.000
0.000 6.239 0.000
0.000 0.000 6.239
Ac Hg
4 1
Direct
0.000 0.000 0.000
0.000 0.500 0.500
0.500 0.000 0.500
0.500 0.500 0.000
0.500 0.500 0.500

=====

# 3
ScBeCd2 (PBE-GGA, relaxed); relative energy among the computed polymorphs = 244 meV/atom; raw total energy = -2.7167 eV per atom; mass density = 5.9 g/cm³; volume = 19.6 Å³/atom; formation enthalpy at 0 K = 25 kJ per mole of atoms
1.0
1.597 0.922 8.885
-1.597 0.922 8.885
0.000 -1.845 8.885
Sc Be Cd
1 1 2
Direct
0.000 0.000 0.000
0.500 0.500 0.500
0.238 0.238 0.238
0.762 0.762 0.762

=====

# 4
Si3Se (PBE-GGA, relaxed); ΔE_f (raw) = 514 meV/atom; raw total energy = -4.4241 eV per atom; mass density = 4.0 g/cm³; volume = 17.1 Å³/atom
1.0
1.635 -2.138 0.000
1.635 2.138 0.000
0.000 0.000 9.788
Si Se
3 1
Direct
0.000 0.000 0.000
0.500 0.500 0.207
0.500 0.500 0.793
0.000 0.000 0.500

=====

# 5
Mg2TiHPb (PBE-GGA, relaxed); raw total energy = -3.6195 eV per atom; mass density = 6.0 g/cm³; volume = 16.7 Å³/atom
1.0
4.457 0.000 0.000
0.000 4.457 0.000
0.000 0.000 4.214
Mg Ti H Pb
2 1 1 1
Direct
0.000 0.500 0.000
0.500 0.000 0.000
0.000 0.000 0.500
0.000 0.000 0.000
0.500 0.500 0.500

=====

# 6
Mn2In2I (PBE-GGA, relaxed); ΔE_f (raw) = 330 meV/atom; relative energy among the computed polymorphs = 0 meV/atom; raw total energy = -4.7430 eV per atom; mass density = 6.8 g/cm³; volume = 22.7 Å³/atom
1.0
7.571 0.000 0.000
0.000 7.571 0.000
0.000 0.000 3.969
Mn In I
4 4 2
Direct
0.129 0.371 0.000
0.371 0.871 0.000
0.629 0.129 0.000
0.871 0.629 0.000
0.160 0.660 0.500
0.340 0.160 0.500
0.660 0.840 0.500
0.840 0.340 0.500
0.000 0.000 0.000
0.500 0.500 0.000

=====

# 7
SiSbAu4 (PBE-GGA, relaxed); ΔE_f (raw) = 270 meV/atom; relative energy among the computed polymorphs = 244 meV/atom; raw total energy = -3.5055 eV per atom; mass density = 12.7 g/cm³; volume = 20.5 Å³/atom
1.0
0.000 3.945 3.945
3.945 0.000 3.945
3.945 3.945 0.000
Si Sb Au
1 1 4
Direct
0.000 0.000 0.000
0.250 0.250 0.250
0.124 0.625 0.625
0.625 0.124 0.625
0.625 0.625 0.124
0.625 0.625 0.625

=====

# 8
TiMoPS2 (PBE-GGA, relaxed); ΔE_f (raw) = 280 meV/atom; relative energy among the computed polymorphs = 0 meV/atom; raw total energy = -6.1982 eV per atom; mass density = 3.9 g/cm³; volume = 20.4 Å³/atom
1.0
4.635 0.000 0.000
0.000 4.635 0.000
0.000 0.000 4.748
Ti Mo P S
1 1 1 2
Direct
0.000 0.000 0.000
0.500 0.500 0.500
0.500 0.500 0.000
0.000 0.500 0.500
0.500 0.000 0.500

=====

# 9
TbPm4In (PBE-GGA, relaxed); relative energy among the computed polymorphs = 575 meV/atom; raw total energy = -3.8924 eV per atom; mass density = 6.1 g/cm³; volume = 39.0 Å³/atom; formation enthalpy at 0 K = 49 kJ per mole of atoms
1.0
-4.550 4.550 5.648
4.550 -4.550 5.648
4.550 4.550 -5.648
Tb Pm In
2 8 2
Direct
0.000 0.000 0.000
0.750 0.250 0.500
0.009 0.332 0.323
0.009 0.686 0.677
0.082 0.259 0.823
0.436 0.259 0.177
0.488 0.160 0.672
0.488 0.816 0.328
0.566 0.738 0.828
0.910 0.738 0.172
0.249 0.749 0.500
0.499 0.499 0.000

=====

# 10
LiCdS2Cl (PBE-GGA, relaxed); ΔE_f (raw) = -19 meV/atom; relative energy among the computed polymorphs = 96 meV/atom; raw total energy = -2.6052 eV per atom; mass density = 3.6 g/cm³; volume = 20.0 Å³/atom
1.0
4.319 0.000 0.000
0.000 4.319 0.000
0.000 0.000 5.370
Li Cd S Cl
1 1 2 1
Direct
0.000 0.000 0.000
0.500 0.500 0.500
0.000 0.500 0.000
0.500 0.000 0.000
0.000 0.000 0.500

=====

# 11
Bi2Te2Br (PBE-GGA, relaxed); ΔE_f (raw) = -176 meV/atom; relative energy among the computed polymorphs = 7 meV/atom; raw total energy = -3.3194 eV per atom; mass density = 8.0 g/cm³; volume = 31.3 Å³/atom
1.0
8.630 0.000 0.000
0.000 8.630 0.000
0.000 0.000 4.199
Bi Te Br
4 4 2
Direct
0.160 0.340 0.000
0.340 0.840 0.000
0.660 0.160 0.000
0.840 0.660 0.000
0.147 0.647 0.500
0.353 0.147 0.500
0.647 0.853 0.500
0.853 0.353 0.500
0.000 0.000 0.000
0.500 0.500 0.000

=====

# 12
KTl2HgAu (PBE-GGA, relaxed); relative energy among the computed polymorphs = 0 meV/atom; raw total energy = -1.9026 eV per atom; mass density = 8.0 g/cm³; volume = 35.1 Å³/atom; formation enthalpy at 0 K = -2 kJ per mole of atoms
1.0
5.642 0.000 0.000
0.000 5.642 0.000
0.000 0.000 5.509
K Tl Hg Au
1 2 1 1
Direct
0.000 0.000 0.000
0.000 0.500 0.500
0.500 0.000 0.500
0.500 0.500 0.000
0.500 0.500 0.500